# 1
The following is a GGA-PBE calculation of TcAg after structural relaxation, from the Alexandria database.

Results
- Excess energy over the best structure of this formula in the dataset: 2.99 eV per formula unit
- N(E_F): 2.47 states/eV/f.u.
- M_tot: 6.81 Bohr magnetons per cell
- VASP energy: -0.1816 hartree per atom

Cell: 4.166 4.166 5.515 Å, 90.00 90.00 120.00°
Fractional positions:
Tc 0.333 0.667 0.250
Tc 0.667 0.333 0.750
Ag 0.000 0.000 0.000
Ag 0.000 0.000 0.500



# 2
The following is a GGA-PBE calculation of Dy4HoMg2 after structural relaxation, from the Alexandria database.

Results
- Excess energy over the best structure of this formula in the dataset: 0.61 eV per formula unit
- N(E_F): 9.64 states/eV/f.u.
- M_tot: 0.00 Bohr magnetons per cell
- VASP energy: -0.1349 hartree per atom

Cell: 8.614 8.614 8.614 Å, 36.76 36.76 36.76°
Fractional positions:
Dy 0.068 0.068 0.068
Dy 0.207 0.207 0.207
Dy 0.793 0.793 0.793
Dy 0.932 0.932 0.932
Ho 0.500 0.500 0.500
Mg 0.351 0.351 0.351
Mg 0.649 0.649 0.649



# 3
The following is a GGA-PBE calculation of LiInAs2 after structural relaxation, from the Alexandria database.

Results
- N(E_F): 2.51 states/eV/f.u.
- M_tot: 0.00 Bohr magnetons per cell
- VASP energy: -0.1322 hartree per atom

Cell: 3.048 4.075 7.435 Å, 90.00 90.00 90.00°
Fractional positions:
Li 0.000 0.000 0.000
In 0.500 0.500 0.534
As 0.000 0.000 0.356
As 0.500 0.500 0.888